Material: CsSr2Au2
Method: DFT, PBE-GGA
State: relaxed

```
CsSr2Au2
1.0
-3.335 -3.742 -2.117
2.975 -0.074 -4.556
3.500 -6.592 -0.857
Au Sr Cs
2 2 1
Cartesian
2.487 -7.440 -4.754
0.653 -2.968 -2.775
-0.008 -6.121 -3.155
3.148 -4.287 -4.374
0.000 0.000 0.000
```

Values from the calculation:
* M_tot: 0.00 Bohr magnetons per cell
* ΔE_f: -40.31 kJ per mole of atoms